1.
Material: NaAlOF2
Method: DFT, PBE
State: optimized geometry

Fermi-level density of states, states/eV per atom: 0.34
Space-group type: P4/mmm, No. 123
Energy relative to the lowest polymorph listed for this composition, eV/atom: 1.875

Geometry as POSCAR:
```
NaAlOF2
1.0
-0.469 -0.123 3.814
-3.641 -1.137 -0.484
1.261 -4.049 0.025
Na Al O F
1 1 1 2
Direct
0.000 0.000 0.000
0.500 0.500 0.500
0.000 0.000 0.500
0.000 0.500 0.000
0.500 0.000 0.000
```



2.
Material: Na5AlP2O8F2
Method: DFT, PBE
State: optimized geometry

Fermi-level density of states, states/eV per atom: 0.00
Space-group type: P-3, No. 147

Geometry as POSCAR:
```
Na5AlP2O8F2
1.0
-3.300 -2.303 5.335
4.720 -9.405 -1.140
4.483 7.479 6.001
Na Al P O F
15 3 6 24 6
Direct
0.080 0.333 0.667
0.478 0.667 0.333
0.736 0.829 0.684
0.736 0.855 0.171
0.264 0.171 0.316
0.264 0.145 0.829
0.736 0.316 0.145
0.000 0.000 0.500
0.522 0.333 0.667
0.264 0.684 0.855
0.000 0.000 0.000
0.920 0.667 0.333
0.000 0.500 0.500
0.500 0.000 0.000
0.000 0.500 0.000
0.500 0.500 0.000
0.500 0.500 0.500
0.500 0.000 0.500
0.748 0.187 0.371
0.748 0.629 0.816
0.252 0.371 0.184
0.252 0.813 0.629
0.748 0.184 0.813
0.252 0.816 0.187
0.422 0.433 0.129
0.699 0.572 0.651
0.422 0.871 0.305
0.578 0.305 0.433
0.301 0.428 0.349
0.742 0.097 0.894
0.953 0.568 0.824
0.301 0.921 0.572
0.047 0.432 0.176
0.742 0.106 0.203
0.258 0.894 0.797
0.699 0.349 0.921
0.742 0.797 0.903
0.578 0.129 0.695
0.699 0.079 0.428
0.422 0.695 0.567
0.953 0.256 0.432
0.578 0.567 0.871
0.047 0.744 0.568
0.258 0.903 0.106
0.953 0.176 0.744
0.258 0.203 0.097
0.301 0.651 0.079
0.047 0.824 0.256
0.309 0.136 0.520
0.309 0.384 0.864
0.691 0.616 0.136
0.691 0.520 0.384
0.309 0.480 0.616
0.691 0.864 0.480
```



3.
Material: Na3Al2P2O8F3
Method: DFT, PBE
State: optimized geometry

Fermi-level density of states, states/eV per atom: 0.00
Space-group type: Pm, No. 6
Energy relative to the lowest polymorph listed for this composition, eV/atom: 0.007

Geometry as POSCAR:
```
Na3Al2P2O8F3
1.0
10.483 0.000 0.000
0.000 6.276 -0.005
0.000 0.013 6.277
Na Al P O F
6 4 4 16 6
Direct
0.000 0.854 0.747
0.500 0.347 0.249
0.000 0.245 0.173
0.000 0.769 0.221
0.500 0.745 0.672
0.500 0.270 0.723
0.820 0.496 0.507
0.320 0.996 0.007
0.680 0.996 0.007
0.180 0.496 0.507
0.750 0.005 0.497
0.250 0.505 0.997
0.750 0.505 0.997
0.250 0.005 0.497
0.659 0.011 0.304
0.841 0.198 0.498
0.836 0.803 0.494
0.664 0.002 0.699
0.159 0.511 0.804
0.841 0.511 0.804
0.341 0.698 0.998
0.336 0.303 0.994
0.659 0.698 0.998
0.664 0.303 0.994
0.164 0.502 0.199
0.836 0.502 0.199
0.341 0.011 0.304
0.159 0.198 0.498
0.164 0.803 0.494
0.336 0.002 0.699
0.000 0.509 0.493
0.644 0.490 0.513
0.500 0.008 0.993
0.144 0.990 0.012
0.856 0.990 0.012
0.356 0.490 0.513
```



4.
Material: Na3Al2P2O8F3
Method: DFT, PBE
State: optimized geometry

Fermi-level density of states, states/eV per atom: 0.00
Space-group type: Cmc2_1, No. 36
Energy relative to the lowest polymorph listed for this composition, eV/atom: 0.000

Geometry as POSCAR:
```
Na3Al2P2O8F3
1.0
-3.987 3.943 -3.994
1.537 -5.006 -4.469
-7.132 -4.543 2.635
Na Al P O F
6 4 4 16 6
Direct
0.525 0.525 0.988
0.775 0.775 0.220
0.128 0.128 0.343
0.225 0.225 0.720
0.475 0.475 0.488
0.872 0.872 0.843
0.425 0.066 0.004
0.066 0.425 0.004
0.934 0.575 0.504
0.575 0.934 0.504
0.748 0.256 0.250
0.256 0.748 0.250
0.252 0.744 0.750
0.744 0.252 0.750
0.565 0.244 0.148
0.739 0.070 0.351
0.938 0.263 0.156
0.761 0.445 0.348
0.244 0.565 0.148
0.070 0.739 0.351
0.263 0.938 0.156
0.445 0.761 0.348
0.062 0.737 0.656
0.239 0.555 0.848
0.435 0.756 0.648
0.261 0.930 0.851
0.737 0.062 0.656
0.555 0.239 0.848
0.756 0.435 0.648
0.930 0.261 0.851
0.247 0.247 0.997
0.601 0.891 0.005
0.891 0.601 0.005
0.753 0.753 0.497
0.109 0.399 0.505
0.399 0.109 0.505
```



5.
Material: Na2AlPbF6
Method: DFT, PBE
State: optimized geometry

Fermi-level density of states, states/eV per atom: 0.26
Space-group type: P4mm, No. 99

Geometry as POSCAR:
```
Na2AlPbF6
1.0
5.027 0.000 0.000
0.000 5.938 0.000
0.000 0.000 5.938
Na Al Pb F
2 1 1 6
Direct
0.957 0.500 0.000
0.957 0.000 0.500
0.660 0.000 0.000
0.498 0.500 0.500
0.756 0.206 0.206
0.756 0.206 0.794
0.034 0.500 0.500
0.317 0.000 0.000
0.756 0.794 0.794
0.756 0.794 0.206
```



6.
Material: Na2Al3PbF12
Method: DFT, PBE
State: optimized geometry

Fermi-level density of states, states/eV per atom: 0.32
Space-group type: R-3m, No. 166

Geometry as POSCAR:
```
Na2Al3PbF12
1.0
-2.264 6.978 -0.769
-1.997 4.125 5.780
4.055 5.708 2.321
Na Al Pb F
2 3 1 12
Direct
0.663 0.663 0.663
0.337 0.337 0.337
0.500 0.000 0.000
0.000 0.500 0.000
0.000 0.000 0.500
0.000 0.000 0.000
0.279 0.279 0.909
0.882 0.882 0.445
0.445 0.882 0.882
0.909 0.279 0.279
0.882 0.445 0.882
0.279 0.909 0.279
0.721 0.721 0.091
0.118 0.118 0.555
0.555 0.118 0.118
0.091 0.721 0.721
0.118 0.555 0.118
0.721 0.091 0.721
```



7.
Material: NaAlPb2F8
Method: DFT, PBE
State: optimized geometry

Fermi-level density of states, states/eV per atom: 0.00
Space-group type: P-1, No. 2

Geometry as POSCAR:
```
NaAlPb2F8
1.0
5.277 -0.057 0.036
-0.014 4.967 0.037
0.053 0.068 7.331
Na Al Pb F
1 1 2 8
Direct
0.000 0.000 0.500
0.000 0.000 0.000
0.490 0.444 0.762
0.510 0.556 0.238
0.118 0.823 0.207
0.785 0.719 0.955
0.757 0.143 0.153
0.882 0.177 0.793
0.215 0.281 0.045
0.243 0.857 0.847
0.690 0.697 0.524
0.310 0.303 0.476
```



8.
Material: NaAlPdF6
Method: DFT, PBE
State: optimized geometry

Space-group type: P-31c, No. 163

Geometry as POSCAR:
```
NaAlPdF6
1.0
5.394 0.000 0.000
-2.697 4.672 0.000
0.000 0.000 9.564
Na Al Pd F
2 2 2 12
Direct
0.000 0.000 0.000
0.000 0.000 0.500
0.667 0.333 0.250
0.333 0.667 0.750
0.333 0.667 0.250
0.667 0.333 0.750
0.665 0.614 0.141
0.949 0.335 0.141
0.335 0.949 0.641
0.051 0.665 0.859
0.386 0.335 0.359
0.949 0.614 0.359
0.614 0.949 0.859
0.665 0.051 0.359
0.051 0.386 0.641
0.386 0.051 0.141
0.614 0.665 0.641
0.335 0.386 0.859
```



9.
Material: Na2AlPdF6
Method: DFT, PBE
State: optimized geometry

Space-group type: P-1, No. 2

Geometry as POSCAR:
```
Na2AlPdF6
1.0
6.261 -0.345 0.603
2.814 4.398 0.194
3.520 1.251 5.009
Na Al Pd F
2 1 1 6
Direct
0.572 0.578 0.317
0.061 0.054 0.787
0.316 0.316 0.051
0.816 0.816 0.551
0.463 0.322 0.218
0.165 0.004 0.372
0.991 0.615 0.206
0.467 0.628 0.731
0.641 0.017 0.897
0.169 0.310 0.885
```



10.
Material: Na2PmAlF8
Method: DFT, PBE
State: optimized geometry

Fermi-level density of states, states/eV per atom: 0.00
Space-group type: P2/m, No. 10

Geometry as POSCAR:
```
Na2PmAlF8
1.0
-2.255 -0.643 4.449
-4.023 -2.051 -2.373
2.787 -6.082 0.533
Na Pm Al F
2 1 1 8
Direct
0.500 0.500 0.775
0.500 0.500 0.225
0.000 0.000 0.500
0.000 0.000 0.000
0.175 0.824 0.207
0.747 0.752 0.000
0.825 0.176 0.207
0.825 0.176 0.793
0.253 0.248 0.000
0.175 0.824 0.793
0.686 0.696 0.500
0.314 0.304 0.500
```



11.
Material: Na2PrAlF8
Method: DFT, PBE
State: optimized geometry

Fermi-level density of states, states/eV per atom: 0.00
Space-group type: P2/m, No. 10

Geometry as POSCAR:
```
Na2PrAlF8
1.0
4.743 -0.039 -0.003
-0.003 5.277 -0.006
0.004 0.008 6.833
Na Pr Al F
2 1 1 8
Direct
0.500 0.500 0.776
0.500 0.500 0.224
0.000 0.000 0.500
0.000 0.000 0.000
0.162 0.813 0.204
0.717 0.774 0.000
0.838 0.187 0.204
0.838 0.187 0.796
0.283 0.226 0.000
0.162 0.813 0.796
0.626 0.731 0.500
0.374 0.269 0.500
```



12.
Material: Na2PuAlF8
Method: DFT, PBE
State: optimized geometry

Fermi-level density of states, states/eV per atom: 0.29
Space-group type: P2/m, No. 10

Geometry as POSCAR:
```
Na2PuAlF8
1.0
-2.780 -2.991 -2.900
2.922 -3.953 1.364
-4.127 -1.243 5.239
Na Pu Al F
2 1 1 8
Direct
0.500 0.500 0.777
0.500 0.500 0.223
0.000 0.000 0.500
0.000 0.000 0.000
0.176 0.824 0.205
0.746 0.751 0.000
0.824 0.176 0.205
0.824 0.176 0.795
0.254 0.249 0.000
0.176 0.824 0.795
0.684 0.697 0.500
0.316 0.303 0.500
```



13.
Material: NaPuAlF6
Method: DFT, PBE
State: optimized geometry

Fermi-level density of states, states/eV per atom: 1.08
Space-group type: P-31c, No. 163

Geometry as POSCAR:
```
NaPuAlF6
1.0
-5.598 -1.893 -0.269
3.502 -0.439 -4.748
2.535 -7.865 2.596
Na Pu Al F
2 2 2 12
Direct
0.000 0.000 0.000
0.000 0.000 0.500
0.333 0.667 0.250
0.667 0.333 0.750
0.667 0.333 0.250
0.333 0.667 0.750
0.673 0.595 0.131
0.921 0.327 0.131
0.327 0.921 0.631
0.079 0.673 0.869
0.405 0.327 0.369
0.921 0.595 0.369
0.595 0.921 0.869
0.673 0.079 0.369
0.079 0.405 0.631
0.405 0.079 0.131
0.595 0.673 0.631
0.327 0.405 0.869
```



14.
Material: Rb2NaAlF6
Method: DFT, PBE
State: optimized geometry

Fermi-level density of states, states/eV per atom: 0.00
Space-group type: Fm-3m, No. 225

Geometry as POSCAR:
```
Rb2NaAlF6
1.0
5.960 0.000 0.000
2.980 5.162 0.000
2.980 1.721 4.867
Na Al Rb F
1 1 2 6
Direct
0.000 0.000 0.000
0.500 0.500 0.500
0.250 0.250 0.250
0.750 0.750 0.750
0.281 0.719 0.719
0.719 0.281 0.719
0.281 0.719 0.281
0.281 0.281 0.719
0.719 0.719 0.281
0.719 0.281 0.281
```



15.
Material: RbNaAl2F8
Method: DFT, PBE
State: optimized geometry

Fermi-level density of states, states/eV per atom: 0.00
Space-group type: R-3, No. 148

Geometry as POSCAR:
```
RbNaAl2F8
1.0
5.464 0.000 0.000
2.732 4.732 0.000
2.732 1.577 7.700
Rb Na Al F
1 1 2 8
Direct
0.500 0.500 0.500
0.000 0.000 0.000
0.256 0.256 0.233
0.744 0.744 0.767
0.182 0.182 0.455
0.576 0.274 0.171
0.818 0.818 0.545
0.980 0.576 0.171
0.020 0.424 0.829
0.274 0.980 0.171
0.726 0.020 0.829
0.424 0.726 0.829
```



16.
Material: NaAlRe2F
Method: DFT, PBE
State: optimized geometry

Fermi-level density of states, states/eV per atom: 0.95
Space-group type: P4/mmm, No. 123

Geometry as POSCAR:
```
NaAlRe2F
1.0
-4.088 0.029 0.633
0.342 -4.143 2.402
0.561 2.091 3.526
Re F Al Na
2 1 1 1
Direct
0.000 0.000 0.500
0.500 0.000 0.000
0.000 0.000 0.000
0.000 0.500 0.000
0.500 0.500 0.500
```



17.
Material: NaAlS2F
Method: DFT, PBE
State: optimized geometry

Fermi-level density of states, states/eV per atom: 0.47
Space-group type: P4/mmm, No. 123

Geometry as POSCAR:
```
NaAlS2F
1.0
4.356 0.000 0.000
0.000 9.515 0.000
0.000 0.000 4.356
Na S Al F
1 2 1 1
Direct
0.000 0.500 0.000
0.000 0.000 0.500
0.500 0.000 0.000
0.000 0.000 0.000
0.500 0.500 0.500
```



Across the entries above, ΔE_f (raw) takes the values -1.033; -2.495; -2.692; -2.699; -2.636; -3.045; -2.818; -2.570; -2.626; -3.434; -3.415; -3.291; -3.179; -3.183; -3.278; 1.065; -0.713 eV per atom, respectively.
Across the entries above, raw total energy takes the values -18.9; -328.4; -232.0; -232.2; -47.7; -94.8; -61.3; -89.2; -49.1; -67.3; -67.1; -75.2; -118.5; -50.1; -64.1; -26.5; -18.8 eV per cell, respectively.